This record from the Alexandria database describes crystalline Re2AuS at its relaxed geometry. The functional is GGA-PBE.

Properties
The value obtained for the density of states at the Fermi level is 1.345 states/eV/atom. The value obtained for the raw formation energy is 88.5 kJ/mol of atoms. For the spin magnetization, the calculation gives 0.000 μB per cell.

abc: 4.2056 4.2056 8.8013
angles: 76.18 76.18 90.00
Fractional positions:
1 Re 0.5351 0.1250 0.2500
2 Re 0.2149 0.6250 0.2500
3 Re 0.3750 0.4649 0.7500
4 Re 0.8750 0.7851 0.7500
5 S 0.5000 0.5000 0.0000
6 S 0.2500 0.7500 0.5000
7 Au 0.0000 0.0000 0.0000
8 Au 0.7500 0.2500 0.5000